Material: Ba2Sc2In
Method: DFT, GGA-PBE
State: relaxed

Cell lengths 7.8901, 7.8901, 5.7728 Å; angles 90.00, 90.00, 90.00 degrees
Positions (direct):
Sc 0.3552 0.8552 0.0000
Sc 0.8552 0.6448 0.0000
Sc 0.6448 0.1448 0.0000
Sc 0.1448 0.3552 0.0000
Ba 0.1723 0.6723 0.5000
Ba 0.6723 0.8277 0.5000
Ba 0.8277 0.3277 0.5000
Ba 0.3277 0.1723 0.5000
In 0.0000 0.0000 0.0000
In 0.5000 0.5000 0.0000

## Properties
ΔH_f (0 K)	0.55	eV/f.u.
SG	P4/mbm


Material: AlSiIrOs
Method: DFT, GGA-PBE
State: relaxed

Cell lengths 4.2214, 4.2214, 4.2214 Å; angles 60.00, 60.00, 60.00 degrees
Positions (direct):
Si 0.7500 0.7500 0.7500
Ir 0.5000 0.5000 0.5000
Os 0.0000 0.0000 0.0000
Al 0.2500 0.2500 0.2500

## Properties
SG	F-43m
uncorrected formation energy	-0.565	eV per atom


Material: Fe2CoP
Method: DFT, GGA-PBE
State: relaxed

Cell lengths 4.4463, 4.4463, 4.4463 Å; angles 134.90, 134.90, 65.69 degrees
Each line ends with the local moment (μB).
Positions (direct):
Co 0.7500 0.2500 0.5000  0.92
Fe 0.0000 0.0000 0.0000  2.08
Fe 0.5000 0.5000 0.0000  2.08
P 0.2500 0.7500 0.5000  -0.04

## Properties
ΔH_f (0 K)	-0.67	eV/f.u.
SG	I4/mmm


Material: ErTlGa
Method: DFT, GGA-PBE
State: relaxed

Cell lengths 3.8702, 4.6254, 4.6254 Å; angles 120.00, 90.00, 90.00 degrees
Positions (direct):
Tl 0.2730 0.3333 0.6667
Ga 0.0394 0.0000 0.0000
Er 0.6875 0.6667 0.3333

## Properties
ΔH_f (0 K)	-0.89	eV/f.u.
SG	P3m1


Material: Tm4ZnCu2Ru
Method: DFT, GGA-PBE
State: relaxed

Cell lengths 4.8569, 4.8569, 8.3836 Å; angles 73.16, 73.16, 60.00 degrees
Positions (direct):
Tm 0.3795 0.3795 0.8616
Tm 0.8711 0.8711 0.3867
Tm 0.1289 0.1289 0.6133
Tm 0.6205 0.6205 0.1384
Zn 0.0000 0.0000 0.0000
Cu 0.7470 0.7470 0.7590
Cu 0.2530 0.2530 0.2410
Ru 0.5000 0.5000 0.5000

## Properties
ΔH_f (0 K)	-2.98	eV/f.u.
SG	R-3m


Material: TcAsIN2
Method: DFT, GGA-PBE
State: relaxed

Cell lengths 3.8352, 3.8352, 6.7967 Å; angles 90.00, 90.00, 90.00 degrees
Each line ends with the local moment (μB).
Positions (direct):
I 0.0000 0.0000 0.5000  0.08
As 0.0000 0.0000 0.0000  -0.04
Tc 0.5000 0.5000 0.5000  2.92
N 0.0000 0.5000 0.0000  0.23
N 0.5000 0.0000 0.0000  0.23

## Properties
SG	P4/mmm
uncorrected formation energy	1.812	eV per atom